Compound: Hf7ZnGa5
Source: Alexandria via LeMat-Bulk
Functional: PBE
Structure: relaxed

As for the total energy: -6.83 eV per atom. The energy relative to the elements comes out at -0.2111 eV per atom.

The structure belongs to space group Imm2 (No. 44); the cell edges are 5.497, 9.755 and 9.448 Å and the angles 90.00°, 90.00° and 90.00°. The asymmetric unit holds Hf at (0.000, 0.000, 0.000), Hf at (0.000, 0.000, 0.347), Hf at (0.000, 0.336, 0.071), Hf at (0.000, 0.336, 0.584), Hf at (0.000, 0.500, 0.324), Zn at (0.000, 0.000, 0.654), Ga at (0.000, 0.500, 0.828) and Ga at (0.245, 0.238, 0.830).


Compound: Hf4ZnGa
Source: Alexandria via LeMat-Bulk
Functional: PBE
Structure: relaxed

As for the total energy: -7.60 eV per atom. The energy relative to the elements comes out at -0.2500 eV per atom.

The structure belongs to space group P4/mcc (No. 124); the cell edges are 6.857, 6.857 and 5.031 Å and the angles 90.00°, 90.00° and 90.00°. The asymmetric unit holds Hf at (0.150, 0.348, 0.000), Zn at (0.500, 0.500, 0.250) and Ga at (0.000, 0.000, 0.250).


Compound: HfZn11Ga
Source: Alexandria via LeMat-Bulk
Functional: PBE
Structure: relaxed

As for the total energy: -2.11 eV per atom. The energy relative to the elements comes out at -0.0323 eV per atom.

The structure belongs to space group C2/m (No. 12); the cell edges are 5.229, 12.395 and 6.678 Å and the angles 90.00°, 113.01° and 90.00°. The asymmetric unit holds Hf at (0.000, 0.000, 0.000), Zn at (0.000, 0.500, 0.500), Zn at (0.099, 0.394, 0.209), Zn at (0.180, 0.177, 0.351), Zn at (0.250, 0.250, 0.000) and Ga at (0.000, 0.000, 0.500).


Compound: HfZn3Ga
Source: Alexandria via LeMat-Bulk
Functional: PBE
Structure: relaxed

As for the total energy: -3.40 eV per atom. The energy relative to the elements comes out at -0.0371 eV per atom.

The structure belongs to space group Pmmn (No. 59, origin choice 2); the cell edges are 4.066, 6.367 and 6.561 Å and the angles 90.00°, 90.00° and 90.00°. The asymmetric unit holds Hf at (0.250, 0.250, 0.196), Zn at (0.250, 0.054, 0.730), Zn at (0.250, 0.750, 0.480) and Ga at (0.250, 0.750, 0.093).


Compound: Hf2Zr2ZnGa4
Source: Alexandria via LeMat-Bulk
Functional: PBE
Structure: relaxed

As for the total energy: -5.64 eV per atom. The energy relative to the elements comes out at -0.0396 eV per atom.

The structure belongs to space group I4/mmm (No. 139); the cell edges are 6.224, 6.224 and 9.039 Å and the angles 90.00°, 90.00° and 90.00°. The asymmetric unit holds Hf at (0.000, 0.500, 0.250), Zr at (0.000, 0.000, 0.219), Zn at (0.000, 0.000, 0.500) and Ga at (0.230, 0.230, 0.000).


Compound: HfZr2ZnGa
Source: Alexandria via LeMat-Bulk
Functional: PBE
Structure: relaxed

As for the total energy: -5.75 eV per atom. The energy relative to the elements comes out at 0.5218 eV per atom.

The structure belongs to space group P4/mmm (No. 123); the cell edges are 4.993, 4.993 and 4.953 Å and the angles 90.00°, 90.00° and 90.00°. The asymmetric unit holds Hf at (0.000, 0.000, 0.000), Zr at (0.000, 0.500, 0.500), Zn at (0.500, 0.500, 0.000) and Ga at (0.000, 0.000, 0.500).


Compound: HfZrGa4
Source: Alexandria via LeMat-Bulk
Functional: PBE
Structure: relaxed

As for the total energy: -5.51 eV per atom. The energy relative to the elements comes out at -0.4071 eV per atom.

The structure belongs to space group F-43m (No. 216); the cell edges are 7.447, 7.447 and 7.447 Å and the angles 90.00°, 90.00° and 90.00°. The asymmetric unit holds Hf at (0.000, 0.000, 0.000), Zr at (0.250, 0.250, 0.750) and Ga at (0.125, 0.125, 0.375).


Compound: HfZrGa
Source: Alexandria via LeMat-Bulk
Functional: PBE
Structure: relaxed

As for the total energy: -7.29 eV per atom. The energy relative to the elements comes out at -0.1091 eV per atom.

The structure belongs to space group P-3m1 (No. 164); the cell edges are 4.6760, 4.6760 and 6.6444 Å and the angles 90.00°, 90.00° and 120.00°. The asymmetric unit holds Hf at (0.3333, 0.6667, 0.3857), Zr at (0.3333, 0.6667, 0.8791) and Ga at (0.0000, 0.0000, 0.2565).


Compound: HfZr4Ga5
Source: Alexandria via LeMat-Bulk
Functional: PBE
Structure: relaxed

As for the total energy: -6.15 eV per atom. The energy relative to the elements comes out at -0.2265 eV per atom.

The structure belongs to space group Pmmn (No. 59, origin choice 2); the cell edges are 7.966, 8.832 and 5.705 Å and the angles 90.00°, 90.00° and 90.00°. The asymmetric unit holds Hf at (0.250, 0.250, 0.010), Zr at (0.069, 0.250, 0.495), Zr at (0.250, 0.573, 0.294), Ga at (0.082, 0.510, 0.802) and Ga at (0.250, 0.750, 0.736).


Compound: HfZrGa
Source: Alexandria via LeMat-Bulk
Functional: PBE
Structure: relaxed

As for the total energy: -7.50 eV per atom. The energy relative to the elements comes out at -0.3274 eV per atom.

The structure belongs to space group I4mm (No. 107); the cell edges are 3.388, 3.388 and 10.686 Å and the angles 90.00°, 90.00° and 90.00°. The asymmetric unit holds Hf at (0.000, 0.000, 0.000), Zr at (0.000, 0.000, 0.316) and Ga at (0.000, 0.000, 0.655).


energy relative to the elements of number 6 (HfZr2ZnGa)?
0.5218 eV per atom


Look up the energy relative to the elements of the fifth one.
-0.0396 eV per atom